This record from Alexandria describes a relaxed structure of NdBeS2. The functional is PBE. Values from VASP.

Calculated values
Uncorrected formation energy in eV per formula unit: -1.7
Electronic total energy in eV per atom: -4.6034

Cell and atoms, written as Quantum ESPRESSO input:
```
&SYSTEM
  ibrav = 0, nat = 12, ntyp = 3
/
ATOMIC_SPECIES
Nd 144.24 Nd.upf
Be 9.01 Be.upf
S 32.06 S.upf
CELL_PARAMETERS angstrom
3.581 0.000 0.000
-1.790 3.101 0.000
0.000 0.000 23.052
ATOMIC_POSITIONS crystal
Nd 0.000 0.000 0.000
Nd 0.333 0.667 0.667
Nd 0.667 0.333 0.333
Be 0.000 0.000 0.500
Be 0.333 0.667 0.167
Be 0.667 0.333 0.833
S 0.000 0.000 0.117
S 0.000 0.000 0.883
S 0.333 0.667 0.550
S 0.333 0.667 0.783
S 0.667 0.333 0.217
S 0.667 0.333 0.450
```